[1]
VASP calculation (meta-GGA SCAN) on a PBEsol-optimized structure of TlTcPb2.

Output
ΔE_f: 622 meV per atom
N(E_F): 2.38 states/eV per cell
size of the total moment: 0.0 μB per cell
relative energy among the computed polymorphs: 229.8 meV/atom
crystal system: orthorhombic

Unit cell a=3.612 b=4.739 c=5.638 alpha=90.00 beta=108.68 gamma=90.00
Fractional coordinates of all 4 atoms:
Pb  0.093  0.000  0.185
Pb  0.402  0.500  0.803
Tc  0.818  0.000  0.637
Tl  0.675  0.500  0.351

***

[2]
VASP calculation (meta-GGA SCAN) on a PBEsol-optimized structure of TcPb2W.

Output
ΔE_f: 1199 meV per atom
N(E_F): 4.06 states/eV per cell
size of the total moment: 0.0 μB per cell
relative energy among the computed polymorphs: 865.9 meV/atom
crystal system: monoclinic

Unit cell a=3.129 b=4.504 c=5.523 alpha=90.00 beta=94.23 gamma=90.00
Fractional coordinates of all 4 atoms:
Tc  0.500  0.500  0.000
W  0.000  0.500  0.500
Pb  0.738  0.000  0.754
Pb  0.262  0.000  0.246

***

[3]
VASP calculation (meta-GGA SCAN) on a PBEsol-optimized structure of TcPb2W.

Output
ΔE_f: 333 meV per atom
N(E_F): 2.64 states/eV per cell
size of the total moment: 0.0 μB per cell
relative energy among the computed polymorphs: 0.0 meV/atom
crystal system: tetragonal

Unit cell a=3.153 b=3.153 c=8.530 alpha=90.00 beta=90.00 gamma=90.00
Fractional coordinates of all 4 atoms:
W  0.500  0.500  0.699
Pb  0.000  0.000  0.950
Tc  0.000  0.000  0.546
Pb  0.500  0.500  0.305

***

[4]
VASP calculation (meta-GGA SCAN) on a PBEsol-optimized structure of TcPb2W.

Output
ΔE_f: 1176 meV per atom
N(E_F): 3.23 states/eV per cell
size of the total moment: 0.9 μB per cell
relative energy among the computed polymorphs: 842.4 meV/atom
crystal system: orthorhombic

Unit cell a=3.084 b=3.084 c=9.059 alpha=90.00 beta=90.00 gamma=115.83
Each line ends with the local moment (μB).
Fractional coordinates of all 4 atoms:
W  0.500  0.500  0.000  -0.04
Pb  0.000  0.000  0.742  -0.01
Tc  0.500  0.500  0.500  0.99
Pb  0.000  0.000  0.258  -0.01

***

[5]
VASP calculation (meta-GGA SCAN) on a PBEsol-optimized structure of Y2TcPb.

Output
ΔE_f: -48 meV per atom
N(E_F): 5.84 states/eV per cell
size of the total moment: 0.0 μB per cell
crystal system: cubic

Unit cell a=4.950 b=4.950 c=4.950 alpha=60.00 beta=60.00 gamma=60.00
Fractional coordinates of all 4 atoms:
Y  0.000  0.000  0.000
Y  0.750  0.750  0.750
Pb  0.500  0.500  0.500
Tc  0.250  0.250  0.250

***

[6]
VASP calculation (meta-GGA SCAN) on a PBEsol-optimized structure of Zn2TcPb.

Output
ΔE_f: 465 meV per atom
N(E_F): 2.47 states/eV per cell
size of the total moment: 1.7 μB per cell
crystal system: tetragonal

Unit cell a=2.998 b=2.998 c=7.908 alpha=90.00 beta=90.00 gamma=90.00
Each line ends with the local moment (μB).
Fractional coordinates of all 4 atoms:
Tc  0.500  0.500  0.794  1.61
Pb  0.000  0.000  0.531  -0.04
Zn  0.500  0.500  0.185  0.04
Zn  0.000  0.000  0.990  0.00

***

[7]
VASP calculation (meta-GGA SCAN) on a PBEsol-optimized structure of Zn2TcPb.

Output
ΔE_f: 345 meV per atom
N(E_F): 0.98 states/eV per cell
size of the total moment: 0.0 μB per cell
crystal system: monoclinic

Unit cell a=3.401 b=4.253 c=5.304 alpha=113.44 beta=108.70 gamma=90.00
Fractional coordinates of all 4 atoms:
Zn  0.235  0.234  0.471
Zn  0.765  0.766  0.529
Tc  0.500  0.000  0.000
Pb  0.000  0.500  0.000

***

[8]
VASP calculation (meta-GGA SCAN) on a PBEsol-optimized structure of ZnTc2Pb.

Output
ΔE_f: 776 meV per atom
N(E_F): 3.25 states/eV per cell
size of the total moment: 2.2 μB per cell
relative energy among the computed polymorphs: 275.5 meV/atom
crystal system: orthorhombic

Unit cell a=2.878 b=2.878 c=8.615 alpha=90.00 beta=90.00 gamma=112.53
Each line ends with the local moment (μB).
Fractional coordinates of all 4 atoms:
Zn  0.500  0.500  0.500  -0.02
Tc  0.000  0.000  0.265  1.08
Tc  0.000  0.000  0.735  1.08
Pb  0.500  0.500  0.000  -0.02

***

[9]
VASP calculation (meta-GGA SCAN) on a PBEsol-optimized structure of ZnTc2Pb.

Output
ΔE_f: 620 meV per atom
N(E_F): 3.38 states/eV per cell
size of the total moment: 0.0 μB per cell
relative energy among the computed polymorphs: 119.4 meV/atom
crystal system: monoclinic

Unit cell a=2.985 b=4.648 c=4.919 alpha=109.09 beta=90.00 gamma=90.00
Fractional coordinates of all 4 atoms:
Pb  0.000  0.500  0.500
Tc  0.500  0.000  0.500
Tc  0.000  0.000  0.000
Zn  0.500  0.500  0.000

***

[10]
VASP calculation (meta-GGA SCAN) on a PBEsol-optimized structure of Zn2TcPb.

Output
ΔE_f: 433 meV per atom
N(E_F): 1.64 states/eV per cell
size of the total moment: 1.3 μB per cell
crystal system: trigonal

Unit cell a=3.022 b=3.022 c=9.274 alpha=80.62 beta=80.62 gamma=60.00
Each line ends with the local moment (μB).
Fractional coordinates of all 4 atoms:
Zn  0.738  0.738  0.786  0.01
Zn  0.262  0.262  0.214  0.01
Pb  0.500  0.500  0.500  0.00
Tc  0.000  0.000  0.000  1.23

***

[11]
VASP calculation (meta-GGA SCAN) on a PBEsol-optimized structure of ZnTc2Pb.

Output
ΔE_f: 500 meV per atom
N(E_F): 3.12 states/eV per cell
size of the total moment: 0.0 μB per cell
relative energy among the computed polymorphs: 0.0 meV/atom
crystal system: monoclinic

Unit cell a=2.986 b=4.653 c=5.082 alpha=100.72 beta=90.00 gamma=108.72
Fractional coordinates of all 4 atoms:
Zn  0.500  0.000  0.000
Tc  0.245  0.489  0.207
Pb  0.000  0.000  0.500
Tc  0.755  0.511  0.793

***

[12]
VASP calculation (meta-GGA SCAN) on a PBEsol-optimized structure of ZnTc2Pb.

Output
ΔE_f: 627 meV per atom
N(E_F): 2.41 states/eV per cell
size of the total moment: 3.7 μB per cell
relative energy among the computed polymorphs: 127.1 meV/atom
crystal system: tetragonal

Unit cell a=4.000 b=4.000 c=4.919 alpha=113.99 beta=113.99 gamma=90.00
Each line ends with the local moment (μB).
Fractional coordinates of all 4 atoms:
Tc  0.750  0.250  0.500  1.81
Tc  0.250  0.750  0.500  1.81
Zn  0.500  0.500  0.000  -0.02
Pb  0.000  0.000  0.000  -0.04

***

[13]
VASP calculation (meta-GGA SCAN) on a PBEsol-optimized structure of Zn2TcPb.

Output
ΔE_f: 461 meV per atom
N(E_F): 2.39 states/eV per cell
size of the total moment: 0.6 μB per cell
crystal system: tetragonal

Unit cell a=4.073 b=4.075 c=3.901 alpha=90.00 beta=90.00 gamma=90.00
Each line ends with the local moment (μB).
Fractional coordinates of all 4 atoms:
Zn  0.000  0.000  0.000  -0.01
Zn  0.500  0.500  0.000  -0.01
Tc  0.000  0.500  0.500  0.65
Pb  0.500  0.000  0.500  0.00

***

[14]
VASP calculation (meta-GGA SCAN) on a PBEsol-optimized structure of Zn2TcPb.

Output
ΔE_f: 288 meV per atom
N(E_F): 0.91 states/eV per cell
size of the total moment: 0.9 μB per cell
crystal system: tetragonal

Unit cell a=3.894 b=3.898 c=5.082 alpha=112.55 beta=112.52 gamma=90.00
Each line ends with the local moment (μB).
Fractional coordinates of all 4 atoms:
Zn  0.750  0.250  0.500  -0.02
Tc  0.250  0.750  0.500  0.98
Pb  0.500  0.500  0.000  -0.02
Zn  0.000  0.000  0.000  -0.03

***

[15]
VASP calculation (meta-GGA SCAN) on a PBEsol-optimized structure of Zr2TcPb.

Output
ΔE_f: -212 meV per atom
N(E_F): 2.77 states/eV per cell
size of the total moment: 0.0 μB per cell
relative energy among the computed polymorphs: 175.7 meV/atom
crystal system: orthorhombic

Unit cell a=3.801 b=4.864 c=5.290 alpha=117.37 beta=111.06 gamma=90.00
Fractional coordinates of all 4 atoms:
Zr  0.782  0.782  0.564
Tc  0.500  0.000  0.000
Zr  0.218  0.218  0.436
Pb  0.000  0.500  0.000

***

[16]
VASP calculation (meta-GGA SCAN) on a PBEsol-optimized structure of ZrTc2Pb.

Output
ΔE_f: 112 meV per atom
N(E_F): 2.14 states/eV per cell
size of the total moment: 0.0 μB per cell
crystal system: orthorhombic

Unit cell a=3.069 b=4.047 c=5.734 alpha=90.00 beta=90.00 gamma=90.00
Fractional coordinates of all 4 atoms:
Tc  0.500  0.500  0.236
Pb  0.500  0.500  0.762
Tc  0.000  0.000  0.034
Zr  0.000  0.000  0.468

***

[17]
VASP calculation (meta-GGA SCAN) on a PBEsol-optimized structure of Zr3TcPb.

Output
ΔE_f: 1510 meV per atom
N(E_F): 9.20 states/eV per cell
size of the total moment: 2.4 μB per cell
crystal system: cubic

Unit cell a=5.222 b=5.222 c=5.222 alpha=90.00 beta=90.00 gamma=90.00
Each line ends with the local moment (μB).
Fractional coordinates of all 5 atoms:
Tc  0.500  0.500  0.500  3.40
Zr  0.500  0.000  0.000  -0.28
Pb  0.000  0.000  0.000  -0.02
Zr  0.000  0.000  0.500  -0.28
Zr  0.000  0.500  0.000  -0.28

***

[18]
VASP calculation (meta-GGA SCAN) on a PBEsol-optimized structure of Zr2TcPb.

Output
ΔE_f: -388 meV per atom
N(E_F): 2.37 states/eV per cell
size of the total moment: 0.0 μB per cell
relative energy among the computed polymorphs: 0.0 meV/atom
crystal system: tetragonal

Unit cell a=3.245 b=3.244 c=7.789 alpha=90.00 beta=90.00 gamma=90.03
Fractional coordinates of all 4 atoms:
Zr  0.000  0.000  0.201
Zr  0.000  0.000  0.799
Pb  0.500  0.500  0.500
Tc  0.500  0.500  0.000

***

[19]
VASP calculation (meta-GGA SCAN) on a PBEsol-optimized structure of Ti2TePb.

Output
formation energy from raw total energies: -0.12 eV/atom
N(E_F): 4.17 states/eV per cell
size of the total moment: 1.2 μB per cell
crystal system: cubic

Unit cell a=4.821 b=4.821 c=4.821 alpha=60.00 beta=60.00 gamma=60.00
Each line ends with the local moment (μB).
Fractional coordinates of all 4 atoms:
Ti  0.750  0.750  0.750  0.47
Ti  0.250  0.250  0.250  0.47
Te  0.000  0.000  0.000  -0.02
Pb  0.500  0.500  0.500  0.02

***

[20]
VASP calculation (meta-GGA SCAN) on a PBEsol-optimized structure of TiTe2Pb.

Output
formation energy from raw total energies: -0.52 eV/atom
N(E_F): 2.28 states/eV per cell
size of the total moment: 0.0 μB per cell
crystal system: trigonal

Unit cell a=3.621 b=3.621 c=10.100 alpha=79.67 beta=79.67 gamma=60.00
Fractional coordinates of all 4 atoms:
Ti  0.500  0.500  0.500
Te  0.892  0.892  0.323
Te  0.108  0.108  0.677
Pb  0.000  0.000  0.000